1.
Computed, not measured: a geometry-optimized TcP2PdBr structure at the PBE-GGA level of DFT.

Results
Raw formation energy = 1038 meV per atom
Total moment = 0.7960 μB per atom

POSCAR file:
```
TcP2PdBr
1.0
4.494 0.000 0.000
0.000 4.494 0.000
0.000 0.000 5.779
Tc P Pd Br
1 2 1 1
Direct
0.000 0.000 0.000 Tc
0.000 0.500 0.500 P
0.500 0.000 0.500 P
0.000 0.000 0.500 Pd
0.500 0.500 0.000 Br
```

---

2.
Computed, not measured: a geometry-optimized PrNd8Sc3 structure at the PBE-GGA level of DFT.

Results
Raw total energy = -5.077 eV/atom
Total moment = 0.0000 μB per atom

POSCAR file:
```
PrNd8Sc3
1.0
5.922 0.000 0.000
2.703 8.241 0.000
2.289 3.032 8.052
Pr Nd Sc
1 8 3
Direct
0.000 0.000 0.000 Pr
0.121 0.772 0.729 Nd
0.131 0.469 0.146 Nd
0.362 0.476 0.529 Nd
0.564 0.737 0.087 Nd
0.665 0.217 0.278 Nd
0.799 0.753 0.425 Nd
0.800 0.465 0.842 Nd
0.946 0.224 0.575 Nd
0.247 0.999 0.315 Sc
0.434 0.201 0.929 Sc
0.509 0.998 0.681 Sc
```

---

3.
Computed, not measured: a geometry-optimized Pm2Pr3Pb4 structure at the PBE-GGA level of DFT.

Results
Offset from the most stable computed form = 49 meV per atom
Total moment = 0.0000 μB per atom

POSCAR file:
```
Pm2Pr3Pb4
1.0
6.858 -2.508 0.000
6.858 2.508 0.000
-5.939 0.000 8.610
Pm Pr Pb
2 3 4
Direct
0.145 0.145 0.318 Pm
0.855 0.855 0.682 Pm
0.147 0.147 0.698 Pr
0.500 0.500 0.000 Pr
0.853 0.853 0.302 Pr
0.173 0.173 0.030 Pb
0.436 0.436 0.588 Pb
0.564 0.564 0.412 Pb
0.827 0.827 0.970 Pb
```

---

Q: What is the formula in the second record?
A: PrNd8Sc3

---

Q: Which of these has the highest total moment?
A: TcP2PdBr

---

Q: total moment of number 2 (PrNd8Sc3)?
A: 0.0000 μB per atom

---

Q: total moment of number 3 (Pm2Pr3Pb4)?
A: 0.0000 μB per atom